VASP calculation (GGA+U) on crystalline CoHgN2F at its relaxed geometry.

a b c (Å): 3.7373 3.7373 4.3472
angles (deg): 90.00 90.00 90.00
Closest atoms and distances in Å follow each position.
Atoms (fractional coordinates):
N (0.5000, 0.0000, 0.0000)  2 Co 1.87
N (0.0000, 0.5000, 0.0000)  2 Co 1.87
Co (0.0000, 0.0000, 0.0000)  4 N 1.87
Hg (0.5000, 0.5000, 0.5000)  4 F 2.64, 8 N 2.87
F (0.0000, 0.0000, 0.5000)  2 Co 2.17

magnetic moment	3.844	μB/cell
energy above the lowest structure with this stoichiometry	0	meV per atom